Record 1
4
Lattice="1.637 0.945 8.767 -1.637 0.945 8.767 0.000 -1.890 8.767" Properties=species:S:1:pos:R:3 comment="Li2TlAs PBE optimized geometry" m_tot_mub_per_cell=0.0 dos_at_fermi_per_ev_atom=0.365 dft_energy_ev_per_atom=-2.95 pbc="T T T"
Li 0.000 0.000 6.232
Li 0.000 0.000 20.070
Tl 0.000 0.000 0.000
As 0.000 0.000 13.151

Record 2
3
Lattice="-1.595 2.026 5.255 1.595 -2.026 5.255 1.595 2.026 -5.255" Properties=species:S:1:pos:R:3 comment="LiTlAs PBE optimized geometry" m_tot_mub_per_cell=0.0 dos_at_fermi_per_ev_atom=0.312 relative_energy_mev_per_atom=139 dft_energy_ev_per_atom=-3.14 pbc="T T T"
Li 0.000 0.000 0.000
Tl 0.000 0.000 7.563
As 0.000 0.000 4.289

Record 3
10
Lattice="2.841 -7.710 0.000 2.841 7.710 0.000 0.000 0.000 5.912" Properties=species:S:1:pos:R:3 comment="LiTl2As2 PBE optimized geometry" m_tot_mub_per_cell=0.0 dos_at_fermi_per_ev_atom=0.452 relative_energy_mev_per_atom=20 dft_energy_ev_per_atom=-3.30 pbc="T T T"
Li 0.000 0.000 0.000
Li 0.000 0.000 2.956
Tl 2.841 4.499 4.434
Tl 2.841 1.119 1.478
Tl 2.841 -1.119 4.434
Tl 2.841 -4.499 1.478
As 1.222 1.808 4.434
As 1.222 -1.808 1.478
As 4.461 1.808 4.434
As 4.461 -1.808 1.478

Record 4
6
Lattice="3.874 -2.301 0.000 3.874 2.301 0.000 -3.125 0.000 8.297" Properties=species:S:1:pos:R:3 comment="LiTlAs PBE optimized geometry" m_tot_mub_per_cell=0.0 dos_at_fermi_per_ev_atom=0.255 relative_energy_mev_per_atom=0 dft_energy_ev_per_atom=-3.28 pbc="T T T"
Li 0.027 0.000 3.373
Li 4.595 0.000 4.924
Tl -0.660 0.000 7.044
Tl 5.282 0.000 1.253
As 2.680 0.000 2.929
As 1.942 0.000 5.368

Record 5
5
Lattice="4.850 0.000 0.000 0.000 4.850 0.000 0.000 0.000 4.850" Properties=species:S:1:pos:R:3 comment="Li3TlAs PBE optimized geometry" m_tot_mub_per_cell=0.0 dos_at_fermi_per_ev_atom=0.559 relative_energy_mev_per_atom=123 dft_energy_ev_per_atom=-2.90 pbc="T T T"
Li 0.000 0.000 2.425
Li 0.000 2.425 0.000
Li 2.425 0.000 0.000
Tl 2.425 2.425 2.425
As 0.000 0.000 0.000

Record 6
4
Lattice="3.773 0.000 0.000 0.000 3.773 0.000 0.000 0.000 5.525" Properties=species:S:1:pos:R:3 comment="Li2TlAs PBE optimized geometry" m_tot_mub_per_cell=0.0 dos_at_fermi_per_ev_atom=0.316 dft_energy_ev_per_atom=-2.97 pbc="T T T"
Li 0.000 0.000 0.000
Li 1.887 1.887 1.543
Tl 0.000 0.000 2.835
As 1.887 1.887 4.391

Record 7
10
Lattice="8.131 0.000 0.000 0.000 8.131 0.000 0.000 0.000 4.243" Properties=species:S:1:pos:R:3 comment="LiTl2As2 PBE optimized geometry" m_tot_mub_per_cell=0.0 dos_at_fermi_per_ev_atom=0.606 relative_energy_mev_per_atom=205 dft_energy_ev_per_atom=-3.11 pbc="T T T"
Li 0.000 0.000 0.000
Li 4.066 4.066 0.000
Tl 1.377 2.689 0.000
Tl 2.689 6.755 0.000
Tl 5.442 1.377 0.000
Tl 6.755 5.442 0.000
As 0.858 4.923 2.122
As 3.208 0.858 2.122
As 4.923 7.274 2.122
As 7.274 3.208 2.122

Record 8
3
Lattice="0.000 3.366 3.366 3.366 0.000 3.366 3.366 3.366 0.000" Properties=species:S:1:pos:R:3 comment="LiTlAs PBE optimized geometry" m_tot_mub_per_cell=0.0 dos_at_fermi_per_ev_atom=0.508 relative_energy_mev_per_atom=282 dft_energy_ev_per_atom=-3.00 pbc="T T T"
Li 0.000 0.000 0.000
Tl 5.048 5.048 5.048
As 3.366 3.366 3.366

Record 9
4
Lattice="5.282 -1.589 0.000 5.282 1.589 0.000 -0.001 0.000 4.688" Properties=species:S:1:pos:R:3 comment="Li2TlAs PBE optimized geometry" m_tot_mub_per_cell=0.0 dos_at_fermi_per_ev_atom=0.137 dft_energy_ev_per_atom=-3.00 pbc="T T T"
Li 0.000 0.000 0.000
Li 7.609 0.000 2.353
Tl 4.835 0.000 2.345
As 2.749 0.000 0.006

Record 10
4
Lattice="3.325 0.000 0.000 0.000 4.775 0.000 0.000 0.000 4.781" Properties=species:S:1:pos:R:3 comment="Li2TlAs PBE optimized geometry" m_tot_mub_per_cell=0.0 dos_at_fermi_per_ev_atom=0.321 dft_energy_ev_per_atom=-3.03 pbc="T T T"
Li 0.000 0.000 0.000
Li 0.000 2.388 2.320
Tl 1.662 2.388 4.713
As 1.662 0.000 2.381

Record 11
6
Lattice="-1.984 3.261 5.376 1.984 -3.261 5.376 1.984 3.261 -5.376" Properties=species:S:1:pos:R:3 comment="LiTlAs PBE optimized geometry" m_tot_mub_per_cell=0.0 dos_at_fermi_per_ev_atom=0.305 relative_energy_mev_per_atom=77 dft_energy_ev_per_atom=-3.20 pbc="T T T"
Li 0.000 1.412 0.000
Li 0.000 5.110 0.000
Tl 0.000 0.000 3.530
Tl 0.000 0.000 7.223
As 1.984 0.000 1.255
As 0.000 3.261 4.121

Record 12
10
Lattice="8.008 0.000 0.000 0.000 8.008 0.000 0.000 0.000 3.386" Properties=species:S:1:pos:R:3 comment="Li2Tl2As PBE optimized geometry" m_tot_mub_per_cell=0.0 dos_at_fermi_per_ev_atom=0.354 relative_energy_mev_per_atom=191 dft_energy_ev_per_atom=-2.69 pbc="T T T"
Li 1.303 2.701 0.000
Li 2.701 6.705 0.000
Li 5.307 1.303 0.000
Li 6.705 5.307 0.000
Tl 1.123 5.127 1.693
Tl 2.881 1.123 1.693
Tl 5.127 6.885 1.693
Tl 6.885 2.881 1.693
As 0.000 0.000 1.693
As 4.004 4.004 1.693